No. 1
DFT (GGA-PBE) results for an optimized crystal structure of LiFeP.

Output
N(E_F)	0.566	states/eV per atom
total magnetization	0.0000	μB per atom
final energy	-5.824	eV per atom
space-group type	Cmcm (63)

a b c (Å): 6.251 6.251 3.721
angles (deg): 90.00 90.00 145.77
Fractional positions:
Li 0.088 0.912 0.750
Li 0.912 0.088 0.250
Fe 0.249 0.751 0.250
Fe 0.751 0.249 0.750
P 0.352 0.648 0.750
P 0.648 0.352 0.250

---

No. 2
DFT (GGA-PBE) results for an optimized crystal structure of Pa2ZnGa3Pt4.

Output
N(E_F)	1.047	states/eV per atom
total magnetization	0.0000	μB per atom
final energy	-6.094	eV per atom
space-group type	P-4m2 (115)

a b c (Å): 4.044 4.044 11.317
angles (deg): 90.00 90.00 90.00
Fractional positions:
Pa 0.000 0.500 0.248
Pa 0.500 0.000 0.752
Zn 0.500 0.500 0.000
Ga 0.000 0.000 0.000
Ga 0.000 0.500 0.632
Ga 0.500 0.000 0.368
Pt 0.000 0.000 0.500
Pt 0.000 0.500 0.849
Pt 0.500 0.000 0.151
Pt 0.500 0.500 0.500

---

No. 3
DFT (GGA-PBE) results for an optimized crystal structure of Sr2Zn3Ga4Ir.

Output
N(E_F)	0.471	states/eV per atom
total magnetization	0.0000	μB per atom
final energy	-3.185	eV per atom
space-group type	P-4m2 (115)

a b c (Å): 4.380 4.380 10.692
angles (deg): 90.00 90.00 90.00
Fractional positions:
Sr 0.000 0.500 0.245
Sr 0.500 0.000 0.755
Zn 0.000 0.000 0.000
Zn 0.000 0.500 0.636
Zn 0.500 0.000 0.364
Ga 0.000 0.000 0.500
Ga 0.000 0.500 0.879
Ga 0.500 0.000 0.121
Ga 0.500 0.500 0.500
Ir 0.500 0.500 0.000

---

No. 4
DFT (GGA-PBE) results for an optimized crystal structure of YTh2PaC4.

Output
N(E_F)	0.574	states/eV per atom
total magnetization	0.0000	μB per atom
final energy	-8.762	eV per atom
space-group type	P2/m (10)

a b c (Å): 6.369 3.706 6.403
angles (deg): 90.00 109.29 90.00
Fractional positions:
Y 0.000 0.000 0.000
Th 0.000 0.500 0.500
Th 0.500 0.000 0.500
Pa 0.500 0.500 0.000
C 0.262 0.500 0.241
C 0.265 0.000 0.765
C 0.735 0.000 0.235
C 0.738 0.500 0.759

---

No. 5
DFT (GGA-PBE) results for an optimized crystal structure of Ba2SnPbSe5.

Output
N(E_F)	0.105	states/eV per atom
total magnetization	0.0000	μB per atom
space-group type	Cmc2_1 (36)
formation energy from raw total energies	-1.1657	eV/atom

a b c (Å): 10.237 10.237 13.373
angles (deg): 90.00 90.00 155.20
Fractional positions:
Ba 0.120 0.880 0.500
Ba 0.129 0.871 0.140
Ba 0.871 0.129 0.640
Ba 0.880 0.120 0.000
Sn 0.440 0.560 0.253
Sn 0.560 0.440 0.753
Pb 0.216 0.784 0.853
Pb 0.784 0.216 0.353
Se 0.037 0.963 0.864
Se 0.286 0.714 0.504
Se 0.322 0.678 0.181
Se 0.357 0.643 0.823
Se 0.495 0.505 0.588
Se 0.505 0.495 0.088
Se 0.643 0.357 0.323
Se 0.678 0.322 0.681
Se 0.714 0.286 0.004
Se 0.963 0.037 0.364

---

No. 6
DFT (GGA-PBE) results for an optimized crystal structure of PuTiAs2.

Output
N(E_F)	2.618	states/eV per atom
total magnetization	1.1468	μB per atom
ΔE to the lowest computed polymorph	132	meV/atom
space-group type	R3m (160)

a b c (Å): 7.005 7.005 7.005
angles (deg): 31.86 31.86 31.86
Fractional positions:
Pu 0.000 0.000 0.000
Ti 0.827 0.827 0.827
As 0.422 0.422 0.422
As 0.571 0.571 0.571

---

No. 7
DFT (GGA-PBE) results for an optimized crystal structure of Nd4SiAg2.

Output
N(E_F)	1.322	states/eV per atom
total magnetization	0.2134	μB per atom
space-group type	R-3m (166)
formation energy from raw total energies	-0.2014	eV/atom

a b c (Å): 8.964 8.964 8.964
angles (deg): 33.95 33.95 33.95
Fractional positions:
Nd 0.123 0.123 0.123
Nd 0.374 0.374 0.374
Nd 0.626 0.626 0.626
Nd 0.877 0.877 0.877
Si 0.000 0.000 0.000
Ag 0.248 0.248 0.248
Ag 0.752 0.752 0.752